# BaLiHgAu2

Crystalline BaLiHgAu2 at its relaxed geometry (PBE, Alexandria).

Computed properties:
Crystal system ... tetragonal
ΔE to the lowest computed polymorph ... 0.0 meV/atom

```
BaLiHgAu2
1.0
-1.669 -2.848 2.921
3.888 -0.155 2.071
-2.956 6.525 1.348
Au Hg Ba Li
2 1 1 1
Direct
0.392 0.392 0.783
0.608 0.608 0.217
0.750 0.250 0.500
0.000 0.000 0.000
0.250 0.750 0.500
```


# BaLi4HgAu2

Crystalline BaLi4HgAu2 at its relaxed geometry (PBE, Alexandria).

Computed properties:
Crystal system ... trigonal

```
BaLi4HgAu2
1.0
4.559 0.000 0.000
2.280 3.948 0.000
2.280 1.316 9.583
Li Ba Au Hg
4 1 2 1
Direct
0.410 0.410 0.769
0.133 0.133 0.600
0.867 0.867 0.400
0.590 0.590 0.231
0.000 0.000 0.000
0.757 0.757 0.729
0.243 0.243 0.271
0.500 0.500 0.500
```


Number 1: formation enthalpy at 0 K -269 kJ/mol of formula units, density 9.58 g cm⁻³. Number 2: formation enthalpy at 0 K -307 kJ/mol of formula units, density 7.31 g cm⁻³.